# Sm2TmGa3Pt4

A geometry-optimized Sm2TmGa3Pt4 structure (PBE, Alexandria).

Cell and atoms, written as CIF:
```
data_Sm2TmGa3Pt4
_cell_length_a 4.196
_cell_length_b 4.196
_cell_length_c 11.504
_cell_angle_alpha 90.00
_cell_angle_beta 90.00
_cell_angle_gamma 90.00
_symmetry_space_group_name_H-M 'P 1'
_symmetry_Int_Tables_number 1
_symmetry_space_group_name_Hall 'P 1'
loop_
_atom_site_label
_atom_site_type_symbol
_atom_site_fract_x
_atom_site_fract_y
_atom_site_fract_z
Pt1 Pt 0.500 0.500 0.000
Pt2 Pt 0.000 0.500 0.344
Pt3 Pt 0.000 0.000 0.000
Pt4 Pt 0.500 0.000 0.656
Ga1 Ga 0.500 0.000 0.873
Ga2 Ga 0.000 0.500 0.127
Ga3 Ga 0.000 0.000 0.500
Sm1 Sm 0.500 0.000 0.229
Sm2 Sm 0.000 0.500 0.771
Tm1 Tm 0.500 0.500 0.500
```

Calculated values
- total DFT energy (no corrections) (eV per cell) = -57.1
- SG = No. 115
- formation energy (eV/atom) = -1.00

***

# GdMgAg4

A geometry-optimized GdMgAg4 structure (PBE, Alexandria).

Cell and atoms, written as CIF:
```
data_GdMgAg4
_cell_length_a 5.616
_cell_length_b 5.616
_cell_length_c 5.616
_cell_angle_alpha 60.00
_cell_angle_beta 60.00
_cell_angle_gamma 60.00
_symmetry_space_group_name_H-M 'P 1'
_symmetry_Int_Tables_number 1
_symmetry_space_group_name_Hall 'P 1'
loop_
_atom_site_label
_atom_site_type_symbol
_atom_site_fract_x
_atom_site_fract_y
_atom_site_fract_z
Ag1 Ag 0.625 0.124 0.625
Ag2 Ag 0.625 0.625 0.625
Ag3 Ag 0.625 0.625 0.124
Ag4 Ag 0.124 0.625 0.625
Mg1 Mg 0.000 0.000 0.000
Gd1 Gd 0.250 0.250 0.250
```

Calculated values
- total DFT energy (no corrections) (eV per cell) = -28.2
- SG = No. 216
- formation energy (eV/atom) = -0.19

***

# Mg3As

A geometry-optimized Mg3As structure (PBE, Alexandria).

Cell and atoms, written as CIF:
```
data_Mg3As
_cell_length_a 3.303
_cell_length_b 3.303
_cell_length_c 7.956
_cell_angle_alpha 90.00
_cell_angle_beta 90.00
_cell_angle_gamma 90.00
_symmetry_space_group_name_H-M 'P 1'
_symmetry_Int_Tables_number 1
_symmetry_space_group_name_Hall 'P 1'
loop_
_atom_site_label
_atom_site_type_symbol
_atom_site_fract_x
_atom_site_fract_y
_atom_site_fract_z
Mg1 Mg 0.500 0.500 0.785
Mg2 Mg 0.000 0.000 0.500
Mg3 Mg 0.500 0.500 0.215
As1 As 0.000 0.000 0.000
```

Calculated values
- total DFT energy (no corrections) (eV per cell) = -9.9
- SG = No. 123
- formation energy (eV/atom) = -0.11

***

# PmDyHo2P4

A geometry-optimized PmDyHo2P4 structure (PBE, Alexandria).

Cell and atoms, written as CIF:
```
data_PmDyHo2P4
_cell_length_a 4.031
_cell_length_b 6.978
_cell_length_c 6.977
_cell_angle_alpha 109.47
_cell_angle_beta 90.00
_cell_angle_gamma 90.00
_symmetry_space_group_name_H-M 'P 1'
_symmetry_Int_Tables_number 1
_symmetry_space_group_name_Hall 'P 1'
loop_
_atom_site_label
_atom_site_type_symbol
_atom_site_fract_x
_atom_site_fract_y
_atom_site_fract_z
Pm1 Pm 0.500 0.500 0.000
P1 P 0.500 0.752 0.746
P2 P 0.000 0.755 0.256
P3 P 0.500 0.248 0.254
P4 P 0.000 0.245 0.744
Dy1 Dy 0.000 0.000 0.000
Ho1 Ho 0.000 0.500 0.500
Ho2 Ho 0.500 0.000 0.500
```

Calculated values
- total DFT energy (no corrections) (eV per cell) = -52.9
- SG = No. 10
- formation energy (eV/atom) = -1.60

***

# NaErPb2

A geometry-optimized NaErPb2 structure (PBE, Alexandria).

Cell and atoms, written as CIF:
```
data_NaErPb2
_cell_length_a 3.615
_cell_length_b 5.561
_cell_length_c 5.561
_cell_angle_alpha 90.00
_cell_angle_beta 90.00
_cell_angle_gamma 90.00
_symmetry_space_group_name_H-M 'P 1'
_symmetry_Int_Tables_number 1
_symmetry_space_group_name_Hall 'P 1'
loop_
_atom_site_label
_atom_site_type_symbol
_atom_site_fract_x
_atom_site_fract_y
_atom_site_fract_z
Pb1 Pb 0.000 0.000 0.500
Pb2 Pb 0.000 0.500 0.000
Er1 Er 0.500 0.000 0.000
Na1 Na 0.500 0.500 0.500
```

Calculated values
- total DFT energy (no corrections) (eV per cell) = -14.5
- SG = No. 123
- formation energy (eV/atom) = -0.29

***

# MnCS2

A geometry-optimized MnCS2 structure (PBE, Alexandria).

Cell and atoms, written as CIF:
```
data_MnCS2
_cell_length_a 6.173
_cell_length_b 6.173
_cell_length_c 6.173
_cell_angle_alpha 31.55
_cell_angle_beta 31.55
_cell_angle_gamma 31.55
_symmetry_space_group_name_H-M 'P 1'
_symmetry_Int_Tables_number 1
_symmetry_space_group_name_Hall 'P 1'
loop_
_atom_site_label
_atom_site_type_symbol
_atom_site_fract_x
_atom_site_fract_y
_atom_site_fract_z
S1 S 0.091 0.091 0.091
S2 S 0.909 0.909 0.909
C1 C 0.000 0.000 0.000
Mn1 Mn 0.500 0.500 0.500
```

Calculated values
- total DFT energy (no corrections) (eV per cell) = -24.6
- SG = No. 166
- formation energy from raw total energies (eV per formula unit) = 2.01

***

# HgPt2Se

A geometry-optimized HgPt2Se structure (PBE, Alexandria).

Cell and atoms, written as CIF:
```
data_HgPt2Se
_cell_length_a 4.760
_cell_length_b 4.760
_cell_length_c 8.600
_cell_angle_alpha 73.94
_cell_angle_beta 73.94
_cell_angle_gamma 90.00
_symmetry_space_group_name_H-M 'P 1'
_symmetry_Int_Tables_number 1
_symmetry_space_group_name_Hall 'P 1'
loop_
_atom_site_label
_atom_site_type_symbol
_atom_site_fract_x
_atom_site_fract_y
_atom_site_fract_z
Se1 Se 0.500 0.500 0.000
Se2 Se 0.250 0.750 0.500
Hg1 Hg 0.000 0.000 0.000
Hg2 Hg 0.750 0.250 0.500
Pt1 Pt 0.875 0.781 0.750
Pt2 Pt 0.219 0.625 0.250
Pt3 Pt 0.531 0.125 0.250
Pt4 Pt 0.375 0.469 0.750
```

Calculated values
- total DFT energy (no corrections) (eV per cell) = -30.9
- SG = No. 122
- formation energy from raw total energies (eV per formula unit) = 0.41

***

# Dy3Ga2Ni2

A geometry-optimized Dy3Ga2Ni2 structure (PBE, Alexandria).

Cell and atoms, written as CIF:
```
data_Dy3Ga2Ni2
_cell_length_a 5.483
_cell_length_b 7.904
_cell_length_c 12.935
_cell_angle_alpha 90.00
_cell_angle_beta 90.00
_cell_angle_gamma 90.00
_symmetry_space_group_name_H-M 'P 1'
_symmetry_Int_Tables_number 1
_symmetry_space_group_name_Hall 'P 1'
loop_
_atom_site_label
_atom_site_type_symbol
_atom_site_fract_x
_atom_site_fract_y
_atom_site_fract_z
Dy1 Dy 0.358 0.256 0.750
Dy2 Dy 0.849 0.102 0.100
Dy3 Dy 0.151 0.898 0.600
Dy4 Dy 0.849 0.102 0.400
Dy5 Dy 0.642 0.756 0.750
Dy6 Dy 0.849 0.398 0.900
Dy7 Dy 0.358 0.244 0.250
Dy8 Dy 0.151 0.602 0.400
Dy9 Dy 0.849 0.398 0.600
Dy10 Dy 0.151 0.898 0.900
Dy11 Dy 0.642 0.744 0.250
Dy12 Dy 0.151 0.602 0.100
Ni1 Ni 0.626 0.466 0.410
Ni2 Ni 0.374 0.534 0.910
Ni3 Ni 0.374 0.534 0.590
Ni4 Ni 0.374 0.966 0.090
Ni5 Ni 0.626 0.034 0.910
Ni6 Ni 0.374 0.966 0.410
Ni7 Ni 0.626 0.034 0.590
Ni8 Ni 0.626 0.466 0.090
Ga1 Ga 0.351 0.250 0.500
Ga2 Ga 0.852 0.107 0.750
Ga3 Ga 0.852 0.393 0.250
Ga4 Ga 0.148 0.893 0.250
Ga5 Ga 0.649 0.750 0.000
Ga6 Ga 0.148 0.607 0.750
Ga7 Ga 0.351 0.250 0.000
Ga8 Ga 0.649 0.750 0.500
```

Calculated values
- total DFT energy (no corrections) (eV per cell) = -141.8
- SG = No. 57
- formation energy (eV/atom) = -0.58

***

# ReAgAs

A geometry-optimized ReAgAs structure (PBE, Alexandria).

Cell and atoms, written as CIF:
```
data_ReAgAs
_cell_length_a 5.643
_cell_length_b 5.643
_cell_length_c 5.643
_cell_angle_alpha 147.84
_cell_angle_beta 147.84
_cell_angle_gamma 46.13
_symmetry_space_group_name_H-M 'P 1'
_symmetry_Int_Tables_number 1
_symmetry_space_group_name_Hall 'P 1'
loop_
_atom_site_label
_atom_site_type_symbol
_atom_site_fract_x
_atom_site_fract_y
_atom_site_fract_z
Ag1 Ag 0.000 0.000 0.000
As1 As 0.309 0.309 0.000
Re1 Re 0.691 0.691 0.000
```

Calculated values
- total DFT energy (no corrections) (eV per cell) = -18.5
- SG = No. 107
- formation energy (eV/atom) = 0.47
- E above lowest polymorph (meV per atom) = 109

***

# TbCe3Sm2P6

A geometry-optimized TbCe3Sm2P6 structure (PBE, Alexandria).

Cell and atoms, written as CIF:
```
data_TbCe3Sm2P6
_cell_length_a 7.074
_cell_length_b 7.074
_cell_length_c 7.067
_cell_angle_alpha 99.61
_cell_angle_beta 99.61
_cell_angle_gamma 120.01
_symmetry_space_group_name_H-M 'P 1'
_symmetry_Int_Tables_number 1
_symmetry_space_group_name_Hall 'P 1'
loop_
_atom_site_label
_atom_site_type_symbol
_atom_site_fract_x
_atom_site_fract_y
_atom_site_fract_z
P1 P 0.246 0.246 0.747
P2 P 0.586 0.916 0.748
P3 P 0.916 0.586 0.748
P4 P 0.084 0.414 0.252
P5 P 0.414 0.084 0.252
P6 P 0.754 0.754 0.253
Sm1 Sm 0.334 0.666 0.000
Sm2 Sm 0.666 0.334 0.000
Tb1 Tb 0.000 0.000 0.000
Ce1 Ce 0.833 0.167 0.500
Ce2 Ce 0.167 0.833 0.500
Ce3 Ce 0.500 0.500 0.500
```

Calculated values
- total DFT energy (no corrections) (eV per cell) = -82.9
- SG = No. 12
- formation energy (eV/atom) = -1.55

***

# V6Ga3Ge

A geometry-optimized V6Ga3Ge structure (PBE, Alexandria).

Cell and atoms, written as CIF:
```
data_V6Ga3Ge
_cell_length_a 6.508
_cell_length_b 7.224
_cell_length_c 7.224
_cell_angle_alpha 118.00
_cell_angle_beta 90.00
_cell_angle_gamma 90.00
_symmetry_space_group_name_H-M 'P 1'
_symmetry_Int_Tables_number 1
_symmetry_space_group_name_Hall 'P 1'
loop_
_atom_site_label
_atom_site_type_symbol
_atom_site_fract_x
_atom_site_fract_y
_atom_site_fract_z
Ga1 Ga 0.778 0.572 0.428
Ga2 Ga 0.998 0.146 0.325
Ga3 Ga 0.498 0.854 0.675
Ga4 Ga 0.278 0.428 0.572
Ga5 Ga 0.498 0.325 0.146
Ga6 Ga 0.998 0.675 0.854
V1 V 0.122 0.406 0.214
V2 V 0.122 0.786 0.594
V3 V 0.791 0.022 0.563
V4 V 0.787 0.036 0.964
V5 V 0.791 0.437 0.978
V6 V 0.622 0.214 0.406
V7 V 0.291 0.563 0.022
V8 V 0.498 0.240 0.760
V9 V 0.291 0.978 0.437
V10 V 0.998 0.760 0.240
V11 V 0.622 0.594 0.786
V12 V 0.287 0.964 0.036
Ge1 Ge 0.602 0.822 0.178
Ge2 Ge 0.102 0.178 0.822
```

Calculated values
- total DFT energy (no corrections) (eV per cell) = -136.6
- SG = No. 36
- formation energy (eV/atom) = 0.01

***

# InW

A geometry-optimized InW structure (PBE, Alexandria).

Cell and atoms, written as CIF:
```
data_InW
_cell_length_a 4.728
_cell_length_b 4.728
_cell_length_c 8.115
_cell_angle_alpha 90.00
_cell_angle_beta 90.00
_cell_angle_gamma 120.00
_symmetry_space_group_name_H-M 'P 1'
_symmetry_Int_Tables_number 1
_symmetry_space_group_name_Hall 'P 1'
loop_
_atom_site_label
_atom_site_type_symbol
_atom_site_fract_x
_atom_site_fract_y
_atom_site_fract_z
In1 In 0.667 0.333 0.250
In2 In 0.000 0.000 0.250
In3 In 0.000 0.000 0.750
In4 In 0.333 0.667 0.750
W1 W 0.667 0.333 0.916
W2 W 0.667 0.333 0.584
W3 W 0.333 0.667 0.084
W4 W 0.333 0.667 0.416
```

Calculated values
- total DFT energy (no corrections) (eV per cell) = -54.9
- SG = No. 194
- formation energy (eV/atom) = 0.99
- E above lowest polymorph (meV per atom) = 587